1.
Here is a relaxed LiLaYEr crystal from Alexandria. Energies are from PBE.

Values from the calculation:
- mass density (g cm⁻³) = 5.45
- calculated total energy (eV per formula unit) = -17.23

Lattice parameters (Å, degrees): 7.883 7.883 7.883 90.00 90.00 90.00
Space group F-43m (No. 216)
Unique sites:
Li1 0.000 0.000 0.000
La1 0.250 0.250 0.250
Y1 0.250 0.250 0.750
Er1 0.000 0.000 0.500

2.
Here is a relaxed CaYAl crystal from Alexandria. Energies are from PBE.

Values from the calculation:
- energy relative to the lowest polymorph listed for this composition (kJ per mole of atoms) = 5.6
- mass density (g cm⁻³) = 3.01
- calculated total energy (eV per formula unit) = -12.78

Lattice parameters (Å, degrees): 7.298 3.592 13.123 90.00 90.00 90.00
Space group Pnma (No. 62)
Unique sites:
Ca1 0.131 0.250 0.104
Y1 0.116 0.250 0.385
Al1 0.127 0.250 0.756

3.
Here is a relaxed ScOs2Br crystal from Alexandria. Energies are from PBE.

Values from the calculation:
- energy relative to the lowest polymorph listed for this composition (kJ per mole of atoms) = 10.4
- mass density (g cm⁻³) = 10.46
- calculated total energy (eV per formula unit) = -30.19
- uncorrected formation energy (eV per atom) = 0.0676

Lattice parameters (Å, degrees): 3.017 3.672 7.391 90.00 101.62 90.00
Space group Pm (No. 6)
Unique sites:
Sc1 0.000 0.000 0.000
Os1 0.378 0.500 0.754
Os2 0.816 0.000 0.629
Br1 0.614 0.500 0.231

4.
Here is a relaxed SrNb3Sn crystal from Alexandria. Energies are from PBE.

Values from the calculation:
- energy relative to the lowest polymorph listed for this composition (kJ per mole of atoms) = 0.0
- mass density (g cm⁻³) = 5.67
- calculated total energy (eV per formula unit) = -29.16

Lattice parameters (Å, degrees): 5.217 5.217 5.217 90.00 90.00 90.00
Space group Pm-3m (No. 221)
Unique sites:
Sr1 0.000 0.000 0.000
Nb1 0.000 0.500 0.500
Sn1 0.500 0.500 0.500

5.
Here is a relaxed SmEu2Gd crystal from Alexandria. Energies are from PBE.

Values from the calculation:
- mass density (g cm⁻³) = 7.00
- calculated total energy (eV per formula unit) = -38.79

Lattice parameters (Å, degrees): 8.340 8.340 8.340 90.00 90.00 90.00
Space group Fm-3m (No. 225)
Unique sites:
Sm1 0.000 0.000 0.000
Eu1 0.250 0.250 0.250
Gd1 0.000 0.000 0.500

6.
Here is a relaxed Be2Zn2GaPd5 crystal from Alexandria. Energies are from PBE.

Values from the calculation:
- mass density (g cm⁻³) = 9.00
- calculated total energy (eV per formula unit) = -43.77

Lattice parameters (Å, degrees): 9.332 9.332 3.180 90.00 90.00 90.00
Space group P4/mbm (No. 127)
Unique sites:
Be1 0.127 0.373 0.000
Zn1 0.170 0.670 0.000
Ga1 0.000 0.000 0.000
Pd1 0.000 0.500 0.500
Pd2 0.084 0.201 0.500

7.
Here is a relaxed CsKPt6S6O28 crystal from Alexandria. Energies are from PBE.

Values from the calculation:
- mass density (g cm⁻³) = 5.09
- calculated total energy (eV per formula unit) = -247.55
- uncorrected formation energy (eV per atom) = -1.0894

Lattice parameters (Å, degrees): 12.4965 12.4965 28.7143 90.00 90.00 120.00
Space group R-3 (No. 148, hexagonal axes)
Unique sites:
Cs1 0.0000 0.0000 0.0908
K1 0.0000 0.0000 0.2938
Pt1 0.0605 0.5616 0.1982
Pt2 0.0702 0.1842 0.4173
S1 0.0107 0.7788 0.2113
S2 0.0396 0.4975 0.3037
O1 0.0000 0.0000 0.4080
O2 0.0129 0.7884 0.3640
O3 0.0186 0.8133 0.4700
O4 0.0240 0.7177 0.8696
O5 0.0281 0.8169 0.6407
O6 0.0319 0.5306 0.7422
O7 0.0393 0.5602 0.9166
O8 0.0450 0.5476 0.6580
O9 0.0739 0.8455 0.1674
O10 0.0792 0.1888 0.7738

8.
Here is a relaxed CuPtO2F crystal from Alexandria. Energies are from PBE.

Values from the calculation:
- mass density (g cm⁻³) = 7.45
- calculated total energy (eV per formula unit) = -22.11
- uncorrected formation energy (eV per atom) = -0.0367

Lattice parameters (Å, degrees): 3.833 3.833 4.699 90.00 90.00 90.00
Space group P4/mmm (No. 123)
Unique sites:
Cu1 0.000 0.000 0.000
Pt1 0.500 0.500 0.500
O1 0.000 0.500 0.500
F1 0.500 0.500 0.000

9.
Here is a relaxed BaIn3Pb2 crystal from Alexandria. Energies are from PBE.

Values from the calculation:
- mass density (g cm⁻³) = 7.35
- calculated total energy (eV per formula unit) = -18.62

Lattice parameters (Å, degrees): 11.466 9.743 7.251 90.00 90.00 90.00
Space group Cmcm (No. 63)
Unique sites:
Ba1 0.000 0.155 0.250
In1 0.000 0.489 0.750
In2 0.139 0.220 0.750
Pb1 0.231 0.500 0.000

10.
Here is a relaxed Na3CaRh crystal from Alexandria. Energies are from PBE.

Values from the calculation:
- energy relative to the lowest polymorph listed for this composition (kJ per mole of atoms) = 0.0
- mass density (g cm⁻³) = 2.25
- calculated total energy (eV per formula unit) = -11.22

Lattice parameters (Å, degrees): 5.388 5.388 5.388 90.00 90.00 90.00
Space group Pm-3m (No. 221)
Unique sites:
Na1 0.000 0.000 0.500
Ca1 0.500 0.500 0.500
Rh1 0.000 0.000 0.000

11.
Here is a relaxed ScCrIn2 crystal from Alexandria. Energies are from PBE.

Values from the calculation:
- energy relative to the lowest polymorph listed for this composition (kJ per mole of atoms) = 26.8
- mass density (g cm⁻³) = 6.20
- calculated total energy (eV per formula unit) = -20.52

Lattice parameters (Å, degrees): 3.2312 3.2312 29.0025 90.00 90.00 120.00
Space group R3m (No. 160, hexagonal axes)
Unique sites:
Sc1 0.0000 0.0000 0.0000
Cr1 0.0000 0.0000 0.2608
In1 0.0000 0.0000 0.5162
In2 0.0000 0.0000 0.7565

12.
Here is a relaxed YErZnAu crystal from Alexandria. Energies are from PBE.

Values from the calculation:
- mass density (g cm⁻³) = 9.41
- calculated total energy (eV per formula unit) = -18.00

Lattice parameters (Å, degrees): 7.154 7.154 7.154 90.00 90.00 90.00
Space group F-43m (No. 216)
Unique sites:
Y1 0.000 0.000 0.000
Er1 0.000 0.000 0.500
Zn1 0.250 0.250 0.750
Au1 0.250 0.250 0.250